A relaxed structure of HfFeN2F. Source: the Alexandria database, functional PBE+U.

Unit cell a=3.8233 b=3.8233 c=3.5600 alpha=90.00 beta=90.00 gamma=90.00
Element x y z (fractional)
Hf 0.0000 0.0000 0.0000
Fe 0.5000 0.5000 0.5000
N 0.0000 0.5000 0.5000
N 0.5000 0.0000 0.5000
F 0.5000 0.5000 0.0000

Properties
The uncorrected energy is -7.036 eV per atom. The calculation puts the size of the total moment at 1.0 Bohr magnetons per cell. For the density of states at the Fermi level, the calculation gives 0.7 states/eV per cell. The value obtained for the energy above the most stable polymorph in this dataset is 393 meV per atom.

=====

A relaxed structure of HfFeN2F. Source: the Alexandria database, functional PBE+U.

Unit cell a=4.1880 b=4.1880 c=4.0434 alpha=90.00 beta=90.00 gamma=90.00
Element x y z (fractional)
Hf 0.0000 0.0000 0.0000
Fe 0.5000 0.5000 0.5000
N 0.0000 0.5000 0.0000
N 0.5000 0.0000 0.0000
F 0.0000 0.0000 0.5000

Properties
The uncorrected energy is -7.428 eV per atom. The calculation puts the size of the total moment at 3.8 Bohr magnetons per cell. For the density of states at the Fermi level, the calculation gives 2.0 states/eV per cell. The value obtained for the energy above the most stable polymorph in this dataset is 0 meV per atom.